(1)
Computed, not measured: crystalline Er9Tm4Tl11 at its relaxed geometry at the PBE-GGA level of DFT.

Summary:
- Calculated total energy: -3.774 eV per atom
- Calculated formation energy: -5.603 eV/f.u.

a = 3.554 Å, b = 13.944 Å, c = 13.944 Å
α = 109.87°, β = 90.00°, γ = 90.00°
Fractional positions:
Tl 0.000 0.052 0.410
Tl 0.000 0.000 0.000
Tm 0.500 0.747 0.585
Tm 0.500 0.585 0.747
Tl 0.000 0.590 0.948
Tl 0.000 0.623 0.377
Er 0.500 0.159 0.614
Tl 0.000 0.814 0.186
Er 0.500 0.614 0.159
Tl 0.000 0.785 0.785
Tm 0.500 0.415 0.253
Tl 0.000 0.410 0.052
Tl 0.000 0.948 0.590
Er 0.500 0.017 0.204
Tm 0.500 0.253 0.415
Tl 0.000 0.186 0.814
Er 0.500 0.841 0.386
Tl 0.000 0.377 0.623
Er 0.500 0.983 0.796
Tl 0.000 0.215 0.215
Er 0.500 0.796 0.983
Er 0.500 0.500 0.500
Er 0.500 0.204 0.017
Er 0.500 0.386 0.841

(2)
Computed, not measured: crystalline TaIn2Br at its relaxed geometry at the PBE-GGA level of DFT.

Summary:
- Calculated total energy: -4.248 eV per atom
- Energy above the lowest structure with this stoichiometry: 0.382 eV/atom

a = 3.126 Å, b = 5.278 Å, c = 5.497 Å
α = 90.00°, β = 90.00°, γ = 90.00°
Fractional positions:
Ta 0.500 0.000 0.500
In 0.500 0.500 0.000
Br 0.000 0.500 0.500
In 0.000 0.000 0.000

(3)
Computed, not measured: crystalline SmYSbTe at its relaxed geometry at the PBE-GGA level of DFT.

Summary:
- Calculated total energy: -5.917 eV per atom

a = 4.421 Å, b = 4.421 Å, c = 7.667 Å
α = 73.24°, β = 73.24°, γ = 60.00°
Fractional positions:
Sb 0.192 0.192 0.423
Y 0.448 0.448 0.657
Sm 0.940 0.940 0.179
Te 0.696 0.696 0.912

> Which of these has the highest calculated total energy?

Er9Tm4Tl11